{"formula": "CsGaTe2Cl", "functional": "PBE-GGA", "state": "optimized geometry", "formation_energy_uncorrected_ev_per_atom": -0.57, "density_g_cm3": 4.65, "lattice_angstrom": [[5.4064, 0.0000, 0.0000], [0.0000, 6.0303, 0.0000], [0.0000, 0.0000, 5.4064]], "species": ["Cl", "Ga", "Cs", "Te", "Te"], "fractional_positions": [[0.0000, 0.5000, 0.0000], [0.0000, 0.0000, 0.0000], [0.5000, 0.5000, 0.5000], [0.5000, 0.0000, 0.0000], [0.0000, 0.0000, 0.5000]]}